# 1
Ta2CrH, optimized geometry, DFT PBE; energy relative to the lowest polymorph listed for this composition = 0 meV per atom
1.0
-4.3997 3.1971 2.2723
-2.8061 -4.9515 1.5334
-2.1753 -0.8445 4.6211
Ta Cr H
4 2 2
direct
0.8750 0.8032 0.7500
0.5532 0.1250 0.2500
0.1968 0.6250 0.2500
0.3750 0.4468 0.7500
0.7500 0.2500 0.5000
0.0000 0.0000 0.0000
0.2500 0.7500 0.5000
0.5000 0.5000 0.0000

# 2
Rb2HgS2, optimized geometry, DFT PBE; energy relative to the elements, uncorrected = -529 meV per atom
1.0
7.8016 0.0000 0.0000
0.0000 7.8016 0.0000
0.0000 0.0000 4.9805
Rb Hg S
4 2 4
direct
0.1444 0.6444 0.5000
0.8556 0.3556 0.5000
0.3556 0.1444 0.5000
0.6444 0.8556 0.5000
0.0000 0.0000 0.0000
0.5000 0.5000 0.0000
0.6771 0.1771 0.0000
0.1771 0.3229 0.0000
0.8229 0.6771 0.0000
0.3229 0.8229 0.0000

# 3
Cs2In2Bi, optimized geometry, DFT PBE; energy relative to the lowest polymorph listed for this composition = 134 meV per atom; formation energy = -0.07 eV/atom
1.0
-1.6297 3.4670 1.7584
-3.5487 -2.1051 0.8618
2.3002 -2.8536 12.8103
Cs In Bi
2 2 1
direct
0.3979 0.3979 0.2041
0.6021 0.6021 0.7959
0.2500 0.7500 0.5000
0.7500 0.2500 0.5000
0.0000 0.0000 0.0000

# 4
PuPbO, optimized geometry, DFT PBE; energy relative to the elements, uncorrected = -1533 meV per atom
1.0
-4.8729 -1.9981 -2.3700
-0.9702 -1.5428 3.2954
-1.0506 3.5242 -0.8111
Pb Pu O
1 1 1
direct
0.6667 0.3333 0.6667
0.1667 0.6667 0.3333
0.1667 0.0000 0.0000

| no. | total magnetization (μB/cell) | E_tot (eV per cell) |
| --- | --- | --- |
| 1 | 1.8 | -70.55 |
| 2 | 0.0 | -26.28 |
| 3 | 0.0 | -11.42 |
| 4 | 4.5 | -27.60 |